1.
Computed, not measured: crystalline Mo2OsSe at its relaxed geometry at the GGA-PBE level of DFT.

```
Mo2OsSe
1.0
-7.0386 -1.1824 5.0414
-5.3277 -3.2464 6.1182
-5.0960 -0.5315 7.0784
Mo Os Se
2 1 1
Cartesian
-0.0300 -0.0085 0.0314
-8.7011 -2.4716 9.0876
-4.3656 -1.2401 4.5595
-13.0967 -3.7202 13.6785
```

The calculated density comes out at 12.3 g/cm³. The magnetization comes out at 0.00 μB per cell. As for the uncorrected formation energy: 0.23 eV/atom. As for the space group: R-3m.



2.
Computed, not measured: crystalline Mo2OsSe at its relaxed geometry at the GGA-PBE level of DFT.

```
Mo2OsSe
1.0
5.3317 -0.0006 0.0004
2.6142 4.6468 -0.0004
-3.4459 -3.2245 2.4810
Mo Os Se
2 1 1
Cartesian
7.7114 4.5091 0.0000
1.6742 1.9333 1.2403
4.1255 2.4123 0.0000
2.9078 -0.4636 1.2407
```

The calculated density comes out at 12.5 g/cm³. The magnetization comes out at 0.00 μB per cell. As for the uncorrected formation energy: 0.23 eV/atom. As for the space group: Imm2.



3.
Computed, not measured: crystalline Mo2Os2Se at its relaxed geometry at the GGA-PBE level of DFT.

```
Mo2Os2Se
1.0
-3.1882 -6.7795 -1.5052
3.0076 -2.8408 6.4247
-2.3484 0.7834 1.4458
Mo Os Se
4 4 2
Cartesian
0.3026 -2.4676 4.6710
-0.6874 -6.4280 5.2089
-2.8316 -6.3693 1.6942
-1.8416 -2.4090 1.1563
1.4385 -4.9023 4.9928
-0.8289 -7.6561 2.8020
-1.6190 -4.7181 -0.0734
0.6483 -1.9642 2.1174
0.0000 0.0000 0.0000
-0.0903 -4.8102 2.4597
```

The calculated density comes out at 12.9 g/cm³. The magnetization comes out at 0.00 μB per cell. As for the uncorrected formation energy: 0.36 eV/atom. The relative energy among the computed polymorphs comes out at 0.000 eV per atom. As for the space group: P4/mbm.



4.
Computed, not measured: crystalline Mo3OsSe at its relaxed geometry at the GGA-PBE level of DFT.

```
Mo3OsSe
1.0
4.7654 0.0000 0.0000
0.0000 4.7654 0.0000
0.0000 0.0000 4.7654
Mo Os Se
3 1 1
Cartesian
0.0000 2.3827 0.0000
0.0000 0.0000 2.3827
2.3827 0.0000 0.0000
0.0000 0.0000 0.0000
2.3827 2.3827 2.3827
```

The calculated density comes out at 8.5 g/cm³. The magnetization comes out at 0.00 μB per cell. As for the uncorrected formation energy: 1.66 eV/atom. The relative energy among the computed polymorphs comes out at 0.183 eV per atom. As for the space group: Pm-3m.



5.
Computed, not measured: crystalline MoOsSe2 at its relaxed geometry at the GGA-PBE level of DFT.

```
MoOsSe2
1.0
4.7950 -0.1052 -0.0957
3.8018 2.9241 -0.0957
0.3391 0.1112 6.7940
Mo Os Se
1 1 2
Cartesian
4.0452 1.3264 2.3095
1.7075 0.5599 2.7798
0.4768 0.1564 0.6385
7.1744 2.3525 4.1761
```

The calculated density comes out at 7.5 g/cm³. The magnetization comes out at 0.00 μB per cell. As for the uncorrected formation energy: 0.19 eV/atom. The relative energy among the computed polymorphs comes out at 0.180 eV per atom. As for the space group: Cm.



6.
Computed, not measured: crystalline MoOs2Se at its relaxed geometry at the GGA-PBE level of DFT.

```
MoOs2Se
1.0
-2.7686 8.2784 -0.1497
-3.3676 7.5326 -2.8528
-5.2341 6.9463 -0.7565
Mo Os Se
1 2 1
Cartesian
-8.5277 17.0680 -2.8192
-11.3591 22.7348 -3.7553
-5.6964 11.4011 -1.8832
-2.8426 5.6893 -0.9397
```

The calculated density comes out at 15.1 g/cm³. The magnetization comes out at 0.00 μB per cell. As for the uncorrected formation energy: 0.39 eV/atom. As for the space group: R-3m.



7.
Computed, not measured: crystalline Mo2OsSe at its relaxed geometry at the GGA-PBE level of DFT.

```
Mo2OsSe
1.0
-1.8824 -0.1824 -2.2898
1.8186 -1.9269 -1.3415
-3.2593 -5.2316 3.0960
Mo Os Se
2 1 1
Cartesian
-3.2398 -5.2003 3.0775
-1.6491 -2.6471 1.5665
-0.8467 -2.3626 -1.0417
-2.4763 -4.9784 0.5063
```

The calculated density comes out at 12.6 g/cm³. The magnetization comes out at 0.00 μB per cell. As for the uncorrected formation energy: 0.02 eV/atom. As for the space group: P4/mmm.



8.
Computed, not measured: crystalline Mo2OsSe at its relaxed geometry at the GGA-PBE level of DFT.

```
Mo2OsSe
1.0
2.7994 0.0102 0.0000
-1.1305 2.5610 0.0000
0.0000 0.0000 8.9125
Mo Os Se
2 1 1
Cartesian
0.0000 0.0000 0.0506
0.0000 0.0000 4.4056
0.8345 1.2856 2.2281
0.8345 1.2856 6.6843
```

The calculated density comes out at 12.0 g/cm³. The magnetization comes out at 0.00 μB per cell. As for the uncorrected formation energy: 0.55 eV/atom. As for the space group: Cmmm.



Look up the calculated density of the eighth one.
12.0 g/cm³



Look up the calculated density of the first one.
12.3 g/cm³